Density functional theory data (PBE-GGA) for crystalline DyZrHg2 at its relaxed geometry.

Raw total energy (eV per atom): -3.7156
Calculated volume (Å³/cell): 94.7
Total magnetic moment (μB/f.u.): 0.5
Excess energy over the best structure of this formula in the dataset (eV per atom): 0.000

Cell and atoms, written as CIF:
```
data_DyZrHg2
_chemical_formula_sum 'Dy1 Zr1 Hg2'
_space_group_name_H-M_alt 'P 4/m m m'
_space_group_IT_number 123
_space_group_name_Hall '-P 4 2'
_cell_length_a 3.634
_cell_length_b 3.634
_cell_length_c 7.175
_cell_angle_alpha 90.00
_cell_angle_beta 90.00
_cell_angle_gamma 90.00
loop_
_atom_site_label
_atom_site_type_symbol
_atom_site_fract_x
_atom_site_fract_y
_atom_site_fract_z
Dy1 Dy 0.000 0.000 0.000
Zr1 Zr 0.000 0.000 0.500
Hg1 Hg 0.500 0.500 0.264
```